(i)
# BaLi2Y | Alexandria | meta-GGA SCAN | single point on PBEsol structure
data_BaLi2Y
_chemical_formula_sum 'Ba3 Li6 Y3'
_cell_length_a 3.5818
_cell_length_b 3.5818
_cell_length_c 33.5168
_cell_angle_alpha 90.00
_cell_angle_beta 90.00
_cell_angle_gamma 120.00
_symmetry_space_group_name_H-M 'R -3 m'
_symmetry_Int_Tables_number 166
_symmetry_space_group_name_Hall '-R 3 2"'
loop_
_atom_site_label
_atom_site_fract_x
_atom_site_fract_y
_atom_site_fract_z
_atom_site_occupancy
Ba1 0.0000 0.0000 0.0000 1
Li1 0.0000 0.0000 0.2444 1
Y1 0.0000 0.0000 0.5000 1
# Total magnetic moment, μB/cell: 1.6
# Crystal system: trigonal

---

(ii)
# BaLi2Y | Alexandria | meta-GGA SCAN | single point on PBEsol structure
data_BaLi2Y
_chemical_formula_sum 'Ba2 Li4 Y2'
_cell_length_a 8.064
_cell_length_b 8.096
_cell_length_c 3.776
_cell_angle_alpha 90.00
_cell_angle_beta 90.00
_cell_angle_gamma 90.00
_symmetry_space_group_name_H-M 'C m m m'
_symmetry_Int_Tables_number 65
_symmetry_space_group_name_Hall '-C 2 2'
loop_
_atom_site_label
_atom_site_fract_x
_atom_site_fract_y
_atom_site_fract_z
_atom_site_occupancy
Ba1 0.000 0.000 0.000 1
Li1 0.250 0.250 0.500 1
Y1 0.000 0.500 0.000 1
# Total magnetic moment, μB/cell: 0.0
# Crystal system: orthorhombic

---

The structure with the greatest stability is (ii).

---

(i)
# BaLiZn2 | Alexandria | meta-GGA SCAN | single point on PBEsol structure
data_BaLiZn2
_chemical_formula_sum 'Ba4 Li4 Zn8'
_cell_length_a 7.385
_cell_length_b 7.385
_cell_length_c 7.385
_cell_angle_alpha 90.00
_cell_angle_beta 90.00
_cell_angle_gamma 90.00
_symmetry_space_group_name_H-M 'F m -3 m'
_symmetry_Int_Tables_number 225
_symmetry_space_group_name_Hall '-F 4 2 3'
loop_
_atom_site_label
_atom_site_fract_x
_atom_site_fract_y
_atom_site_fract_z
_atom_site_occupancy
Ba1 0.000 0.000 0.000 1
Li1 0.000 0.000 0.500 1
Zn1 0.250 0.250 0.250 1
# Total magnetic moment, μB/cell: 0.0
# Crystal system: cubic

---

(ii)
# BaLiZn2 | Alexandria | meta-GGA SCAN | single point on PBEsol structure
data_BaLiZn2
_chemical_formula_sum 'Ba3 Li3 Zn6'
_cell_length_a 4.5159
_cell_length_b 4.5159
_cell_length_c 17.0769
_cell_angle_alpha 90.00
_cell_angle_beta 90.00
_cell_angle_gamma 120.00
_symmetry_space_group_name_H-M 'R -3 m'
_symmetry_Int_Tables_number 166
_symmetry_space_group_name_Hall '-R 3 2"'
loop_
_atom_site_label
_atom_site_fract_x
_atom_site_fract_y
_atom_site_fract_z
_atom_site_occupancy
Ba1 0.0000 0.0000 0.0000 1
Li1 0.0000 0.0000 0.5000 1
Zn1 0.0000 0.0000 0.1893 1
# Total magnetic moment, μB/cell: 0.0
# Crystal system: trigonal

---

(iii)
# BaLiZn2 | Alexandria | meta-GGA SCAN | single point on PBEsol structure
data_BaLiZn2
_chemical_formula_sum 'Ba2 Li2 Zn4'
_cell_length_a 7.746
_cell_length_b 4.458
_cell_length_c 6.267
_cell_angle_alpha 90.00
_cell_angle_beta 113.93
_cell_angle_gamma 90.00
_symmetry_space_group_name_H-M 'C 1 m 1'
_symmetry_Int_Tables_number 8
_symmetry_space_group_name_Hall 'C -2y'
loop_
_atom_site_label
_atom_site_fract_x
_atom_site_fract_y
_atom_site_fract_z
_atom_site_occupancy
Ba1 0.000 0.000 0.000 1
Li1 0.315 0.500 0.441 1
Zn1 0.017 0.500 0.547 1
Zn2 0.197 0.000 0.585 1
# Total magnetic moment, μB/cell: 0.0
# Crystal system: monoclinic

---

The structure with the greatest stability is (iii).

---

(i)
# BaLi2Zr | Alexandria | meta-GGA SCAN | single point on PBEsol structure
data_BaLi2Zr
_chemical_formula_sum 'Ba4 Li8 Zr4'
_cell_length_a 7.320
_cell_length_b 7.320
_cell_length_c 7.320
_cell_angle_alpha 90.00
_cell_angle_beta 90.00
_cell_angle_gamma 90.00
_symmetry_space_group_name_H-M 'F -4 3 m'
_symmetry_Int_Tables_number 216
_symmetry_space_group_name_Hall 'F -4 2 3'
loop_
_atom_site_label
_atom_site_fract_x
_atom_site_fract_y
_atom_site_fract_z
_atom_site_occupancy
Ba1 0.000 0.000 0.000 1
Li1 0.000 0.000 0.500 1
Li2 0.250 0.250 0.250 1
Zr1 0.250 0.250 0.750 1
# Total magnetic moment, μB/cell: 0.0
# Crystal system: cubic

---

(ii)
# BaLi2Zr | Alexandria | meta-GGA SCAN | single point on PBEsol structure
data_BaLi2Zr
_chemical_formula_sum 'Ba2 Li4 Zr2'
_cell_length_a 10.687
_cell_length_b 3.175
_cell_length_c 6.343
_cell_angle_alpha 90.00
_cell_angle_beta 95.83
_cell_angle_gamma 90.00
_symmetry_space_group_name_H-M 'C 1 2/m 1'
_symmetry_Int_Tables_number 12
_symmetry_space_group_name_Hall '-C 2y'
loop_
_atom_site_label
_atom_site_fract_x
_atom_site_fract_y
_atom_site_fract_z
_atom_site_occupancy
Ba1 0.000 0.000 0.000 1
Li1 0.242 0.000 0.695 1
Zr1 0.000 0.500 0.500 1
# Total magnetic moment, μB/cell: 2.1
# Crystal system: monoclinic

---

The structure with the greatest stability is (ii).

---

(i)
# BaLu2O4 | Alexandria | meta-GGA SCAN | single point on PBEsol structure
data_BaLu2O4
_chemical_formula_sum 'Ba4 Lu8 O16'
_cell_length_a 10.206
_cell_length_b 3.350
_cell_length_c 11.796
_cell_angle_alpha 90.00
_cell_angle_beta 90.00
_cell_angle_gamma 90.00
_symmetry_space_group_name_H-M 'P n m a'
_symmetry_Int_Tables_number 62
_symmetry_space_group_name_Hall '-P 2ac 2n'
loop_
_atom_site_label
_atom_site_fract_x
_atom_site_fract_y
_atom_site_fract_z
_atom_site_occupancy
Ba1 0.247 0.250 0.150 1
Lu1 0.073 0.250 0.390 1
Lu2 0.078 0.250 0.892 1
O1 0.019 0.750 0.783 1
O2 0.068 0.250 0.574 1
O3 0.112 0.750 0.017 1
O4 0.210 0.750 0.347 1
# Total magnetic moment, μB/cell: 0.0
# Crystal system: orthorhombic

---

(ii)
# BaLu2O4 | Alexandria | meta-GGA SCAN | single point on PBEsol structure
data_BaLu2O4
_chemical_formula_sum 'Ba4 Lu8 O16'
_cell_length_a 3.332
_cell_length_b 10.950
_cell_length_c 11.195
_cell_angle_alpha 90.00
_cell_angle_beta 90.00
_cell_angle_gamma 90.00
_symmetry_space_group_name_H-M 'C m c m'
_symmetry_Int_Tables_number 63
_symmetry_space_group_name_Hall '-C 2c 2'
loop_
_atom_site_label
_atom_site_fract_x
_atom_site_fract_y
_atom_site_fract_z
_atom_site_occupancy
Ba1 0.000 0.113 0.250 1
Lu1 0.000 0.365 0.070 1
O1 0.000 0.000 0.000 1
O2 0.000 0.260 0.600 1
O3 0.000 0.431 0.250 1
# Total magnetic moment, μB/cell: 0.0
# Crystal system: orthorhombic

---

The structure with the greatest stability is (i).